Entry 1:
A plane-wave DFT calculation with PBE was carried out for a relaxed K4ScU3S8 crystal.

Results
Density of states at the Fermi level = 0.837 states/eV per atom
M_tot = 0.564 μB/atom
Final energy = -303.2 eV for the cell shown
Mass density = 4.76 g/cm³

Lattice parameters (Å, degrees): 7.9764 7.9764 22.2709 90.00 90.00 120.00
Space group R-3m (No. 166, hexagonal axes)
Symmetry-distinct sites (fractional):
1 K 0.0000 0.0000 0.0000
2 K 0.0000 0.5000 0.0000
3 Sc 0.0000 0.0000 0.5000
4 U 0.0000 0.5000 0.5000
5 S 0.0000 0.0000 0.2356
6 S 0.0100 0.5050 0.2334


Entry 2:
A plane-wave DFT calculation with PBE was carried out for a relaxed K2Sc2US6 crystal.

Results
Density of states at the Fermi level = 0.587 states/eV per atom
M_tot = 0.182 μB/atom
Final energy = -138.6 eV for the cell shown
Mass density = 3.43 g/cm³

Lattice parameters (Å, degrees): 6.652 11.592 7.841 90.00 106.59 90.00
Space group C2/m (No. 12)
Symmetry-distinct sites (fractional):
1 K 0.000 0.167 0.000
2 Sc 0.000 0.333 0.500
3 U 0.000 0.000 0.500
4 S 0.223 0.500 0.690
5 S 0.233 0.171 0.690


Entry 3:
A plane-wave DFT calculation with PBE was carried out for a relaxed K3Sc3VS8 crystal.

Results
Density of states at the Fermi level = 0.404 states/eV per atom
M_tot = 0.067 μB/atom
Final energy = -262.4 eV for the cell shown
Mass density = 2.60 g/cm³

Lattice parameters (Å, degrees): 7.4308 7.4308 22.4308 90.00 90.00 120.00
Space group R-3m (No. 166, hexagonal axes)
Symmetry-distinct sites (fractional):
1 K 0.0000 0.5000 0.0000
2 Sc 0.0000 0.5000 0.5000
3 V 0.0000 0.0000 0.5000
4 S 0.0000 0.0000 0.2309
5 S 0.0176 0.5088 0.2279


Entry 4:
A plane-wave DFT calculation with PBE was carried out for a relaxed K2ScZn2S4 crystal.

Results
Density of states at the Fermi level = 0.445 states/eV per atom
M_tot = 0.000 μB/atom
Final energy = -75.4 eV for the cell shown
Mass density = 3.06 g/cm³

Lattice parameters (Å, degrees): 15.325 3.785 7.789 90.00 113.53 90.00
Space group C2/m (No. 12)
Symmetry-distinct sites (fractional):
1 K 0.127 0.000 0.059
2 Sc 0.000 0.000 0.500
3 Zn 0.183 0.500 0.521
4 S 0.027 0.500 0.289
5 S 0.184 0.000 0.710


Entry 5:
A plane-wave DFT calculation with PBE was carried out for a relaxed KScZnS3 crystal.

Results
Density of states at the Fermi level = 0.000 states/eV per atom
M_tot = 0.000 μB/atom
Final energy = -59.1 eV for the cell shown
Mass density = 2.82 g/cm³

Lattice parameters (Å, degrees): 8.530 3.841 9.381 90.00 109.60 90.00
Space group P2_1/m (No. 11)
Symmetry-distinct sites (fractional):
1 K 0.212 0.250 0.234
2 Sc 0.334 0.750 0.866
3 Zn 0.087 0.250 0.610
4 S 0.123 0.250 0.863
5 S 0.210 0.750 0.543
6 S 0.468 0.750 0.150


Entry 6:
A plane-wave DFT calculation with PBE was carried out for a relaxed K3Zr3ScS8 crystal.

Results
Density of states at the Fermi level = 0.392 states/eV per atom
M_tot = 0.000 μB/atom
Final energy = -277.3 eV for the cell shown
Mass density = 3.15 g/cm³

Lattice parameters (Å, degrees): 7.4641 7.4641 22.6887 90.00 90.00 120.00
Space group R-3m (No. 166, hexagonal axes)
Symmetry-distinct sites (fractional):
1 K 0.0000 0.5000 0.0000
2 Zr 0.0000 0.5000 0.5000
3 Sc 0.0000 0.0000 0.5000
4 S 0.0000 0.0000 0.2334
5 S 0.0012 0.5006 0.7685


Entry 7:
A plane-wave DFT calculation with PBE was carried out for a relaxed K3ZrSc2S6 crystal.

Results
Density of states at the Fermi level = 0.347 states/eV per atom
M_tot = 0.000 μB/atom
Final energy = -138.4 eV for the cell shown
Mass density = 2.94 g/cm³

Lattice parameters (Å, degrees): 6.605 11.440 7.673 90.00 106.68 90.00
Space group C2/m (No. 12)
Symmetry-distinct sites (fractional):
1 K 0.000 0.000 0.000
2 K 0.000 0.333 0.000
3 Zr 0.000 0.500 0.500
4 Sc 0.000 0.167 0.500
5 S 0.232 0.334 0.696
6 S 0.233 0.000 0.696


Entry 8:
A plane-wave DFT calculation with PBE was carried out for a relaxed K2ZrScS4 crystal.

Results
Density of states at the Fermi level = 0.377 states/eV per atom
M_tot = 0.000 μB/atom
Final energy = -46.5 eV for the cell shown
Mass density = 3.08 g/cm³

Lattice parameters (Å, degrees): 6.604 3.789 7.689 90.00 106.47 90.00
Space group P2/m (No. 10)
Symmetry-distinct sites (fractional):
1 K 0.000 0.000 0.000
2 K 0.500 0.500 0.000
3 Zr 0.000 0.500 0.500
4 Sc 0.500 0.000 0.500
5 S 0.233 0.000 0.699
6 S 0.268 0.500 0.304


Entry 9:
A plane-wave DFT calculation with PBE was carried out for a relaxed K3Zr2ScS6 crystal.

Results
Density of states at the Fermi level = 0.489 states/eV per atom
M_tot = 0.000 μB/atom
Final energy = -140.7 eV for the cell shown
Mass density = 3.23 g/cm³

Lattice parameters (Å, degrees): 6.555 11.353 7.726 90.00 106.43 90.00
Space group C2/m (No. 12)
Symmetry-distinct sites (fractional):
1 K 0.000 0.000 0.000
2 K 0.000 0.333 0.000
3 Zr 0.000 0.167 0.500
4 Sc 0.000 0.500 0.500
5 S 0.233 0.334 0.699
6 S 0.234 0.000 0.699


Entry 10:
A plane-wave DFT calculation with PBE was carried out for a relaxed K3Se5S12 crystal.

Results
Density of states at the Fermi level = 0.381 states/eV per atom
M_tot = 0.000 μB/atom
Final energy = -552.2 eV for the cell shown
Mass density = 2.83 g/cm³

Lattice parameters (Å, degrees): 16.138 16.138 16.138 90.00 90.00 90.00
Space group Ia-3d (No. 230)
Symmetry-distinct sites (fractional):
1 K 0.000 0.250 0.125
2 Se 0.000 0.000 0.000
3 Se 0.000 0.250 0.375
4 S 0.034 0.049 0.646


Entry 11:
A plane-wave DFT calculation with PBE was carried out for a relaxed K2SeS2 crystal.

Results
Density of states at the Fermi level = 0.083 states/eV per atom
M_tot = 0.000 μB/atom
Final energy = -33.5 eV for the cell shown
Mass density = 2.89 g/cm³

Lattice parameters (Å, degrees): 7.274 7.274 4.803 90.00 90.00 90.00
Space group P4/mbm (No. 127)
Symmetry-distinct sites (fractional):
1 K 0.152 0.348 0.000
2 Se 0.000 0.000 0.500
3 S 0.169 0.669 0.500


Entry 12:
A plane-wave DFT calculation with PBE was carried out for a relaxed K2SeS2 crystal.

Results
Density of states at the Fermi level = 0.515 states/eV per atom
M_tot = 0.000 μB/atom
Final energy = -33.0 eV for the cell shown
Mass density = 2.84 g/cm³

Lattice parameters (Å, degrees): 3.655 3.655 19.395 90.00 90.00 90.00
Space group I4/mmm (No. 139)
Symmetry-distinct sites (fractional):
1 K 0.000 0.000 0.109
2 Se 0.000 0.000 0.500
3 S 0.000 0.500 0.250


Q: Among the records above, which one has the highest final energy?
A: number 12


Q: What is the density of states at the Fermi level in the ninth record?
A: 0.489 states/eV per atom


Q: The highest density of states at the Fermi level belongs to which entry?
A: K4ScU3S8